Entry 1:
Entry from the Alexandria database: a relaxed structure of ErThGe (GGA-PBE).

Unit cell a=8.9480 b=7.9345 c=7.4653 alpha=70.97 beta=56.96 gamma=52.07
Positions (direct):
Er1 0.0073 0.0073 0.7427
Er2 0.2573 0.2573 0.9927
Er3 0.7427 0.7427 0.0073
Er4 0.9927 0.9927 0.2573
Th1 0.0000 0.5000 0.5000
Th2 0.5000 0.0000 0.5000
Th3 0.5000 0.5000 0.0000
Th4 0.5000 0.5000 0.5000
Ge1 0.0617 0.6883 0.0617
Ge2 0.3117 0.9383 0.3117
Ge3 0.6883 0.0617 0.6883
Ge4 0.9383 0.3117 0.9383

Summary:
The density of states at the Fermi level is 12.17 states/eV per cell. For the polymorph energy (0 for the lowest one), the calculation gives 0.0 meV/atom. The value obtained for the total magnetic moment is 0.000 μB per formula unit. The space group is Fddd, No. 70.

=====

Entry 2:
Entry from the Alexandria database: a relaxed structure of Na2ZrRh2O6 (GGA-PBE).

Unit cell a=5.3913 b=5.3913 c=5.9842 alpha=99.54 beta=99.54 gamma=121.10
Positions (direct):
Na1 0.1718 0.8282 0.0000
Na2 0.8282 0.1718 0.0000
Zr1 0.0000 0.0000 0.5000
Rh1 0.3352 0.6648 0.5000
Rh2 0.6648 0.3352 0.5000
O1 0.0674 0.4132 0.6996
O2 0.2606 0.2606 0.2947
O3 0.4132 0.0674 0.6996
O4 0.5868 0.9326 0.3004
O5 0.7394 0.7394 0.7053
O6 0.9326 0.5868 0.3004

Summary:
The total energy comes out at -6.730 eV per atom. The value obtained for the total magnetic moment is 0.000 μB per formula unit. The space group is C2/m, No. 12.

=====

Entry 3:
Entry from the Alexandria database: a relaxed structure of Tl3Fe (GGA-PBE).

Unit cell a=4.4456 b=4.4456 c=20.8641 alpha=90.00 beta=90.00 gamma=90.00
Positions (direct):
Tl1 0.0000 0.0000 0.1247
Tl2 0.0000 0.0000 0.8753
Tl3 0.0000 0.5000 0.0000
Tl4 0.0000 0.5000 0.2500
Tl5 0.0000 0.5000 0.5000
Tl6 0.0000 0.5000 0.7500
Tl7 0.5000 0.0000 0.0000
Tl8 0.5000 0.0000 0.2500
Tl9 0.5000 0.0000 0.5000
Tl10 0.5000 0.0000 0.7500
Tl11 0.5000 0.5000 0.3753
Tl12 0.5000 0.5000 0.6247
Fe1 0.0000 0.0000 0.4077
Fe2 0.0000 0.0000 0.5923
Fe3 0.5000 0.5000 0.0923
Fe4 0.5000 0.5000 0.9077

Summary:
The density of states at the Fermi level is 13.26 states/eV per cell. The total energy comes out at -3.331 eV per atom. The value obtained for the total magnetic moment is 2.883 μB per formula unit. The space group is I4/mmm, No. 139.